Density functional theory data (GGA-PBE) for a relaxed KNa2Pt crystal.

Results
**Energy of formation**: 280 meV/atom
**Size of the total moment**: 0.000 μB per formula unit
**Space group**: R-3m (166)

Unit cell a=3.4600 b=3.4600 c=12.1111 alpha=81.79 beta=81.79 gamma=60.00
Sites, in units of the cell vectors:
Na 0.1085 0.1085 0.6744
Pt 0.5000 0.5000 0.5000
K 0.0000 0.0000 0.0000
Na 0.8915 0.8915 0.3256